[1]
## Zn5CdAg5 (PBE)

Data for a relaxed structure of Zn5CdAg5.

Summary:
- DOS at the Fermi energy: 0.23 states/eV per atom
- Energy of formation from the pure elements: 0.06 eV/atom
- Spin magnetization: 0.00 μB per formula unit

Cell lengths 4.8871, 4.8871, 9.2829 Å; angles 90.00, 90.00, 120.00 degrees
Space group P-6m2 (No. 187)
Symmetry-distinct sites (fractional):
Zn1 0.0000 0.0000 0.2337 [2 per cell]
Zn2 0.3389 0.1695 0.0000 [3 per cell]
Cd1 0.3333 0.6667 0.5000 [1 per cell]
Ag1 0.0000 0.0000 0.5000 [1 per cell]
Ag2 0.3333 0.6667 0.1789 [2 per cell]
Ag3 0.6667 0.3333 0.3307 [2 per cell]



[2]
## LiBeZnPtI (PBE)

Data for a relaxed structure of LiBeZnPtI.

Summary:
- DOS at the Fermi energy: 0.11 states/eV per atom
- Formation energy without anion corrections: -0.44 eV per atom
- Spin magnetization: 0.00 μB per formula unit

Cell lengths 4.1950, 4.1950, 20.1750 Å; angles 90.00, 90.00, 120.00 degrees
Space group R3m (No. 160, hexagonal axes)
Symmetry-distinct sites (fractional):
Li1 0.0000 0.0000 0.0000 [3 per cell]
Be1 0.0000 0.0000 0.4499 [3 per cell]
Zn1 0.0000 0.0000 0.7662 [3 per cell]
Pt1 0.0000 0.0000 0.1305 [3 per cell]
I1 0.0000 0.0000 0.2692 [3 per cell]



[3]
## CsSn2Ge2 (PBE)

Data for a relaxed structure of CsSn2Ge2.

Summary:
- DOS at the Fermi energy: 0.32 states/eV per atom
- Energy of formation from the pure elements: -0.08 eV/atom
- Spin magnetization: 0.00 μB per formula unit

Cell lengths 4.775, 4.775, 14.333 Å; angles 90.00, 90.00, 90.00 degrees
Space group I4/mmm (No. 139)
Symmetry-distinct sites (fractional):
Cs1 0.000 0.000 0.000 [2 per cell]
Sn1 0.000 0.500 0.250 [4 per cell]
Ge1 0.000 0.000 0.364 [4 per cell]



[4]
## LiHgSe2 (PBE)

Data for a relaxed structure of LiHgSe2.

Summary:
- DOS at the Fermi energy: 0.36 states/eV per atom
- Formation energy without anion corrections: -0.15 eV per atom
- Spin magnetization: 0.00 μB per formula unit

Cell lengths 4.507, 4.507, 8.418 Å; angles 90.00, 90.00, 90.00 degrees
Space group I4/mmm (No. 139)
Symmetry-distinct sites (fractional):
Li1 0.000 0.000 0.000 [2 per cell]
Hg1 0.000 0.000 0.500 [2 per cell]
Se1 0.000 0.500 0.250 [4 per cell]